This record from Alexandria describes a relaxed structure of MgSbAs. The functional is PBE.

Lattice parameters (Å, degrees): 5.1460 5.1460 3.0498 90.00 90.00 120.00
Space group P3m1 (No. 156)
Unique sites:
Mg1 0.0000 0.0000 0.0000
Sb1 0.6667 0.3333 0.4942
As1 0.3333 0.6667 0.4938

Summary:
ΔE to the lowest computed polymorph	16.1	kJ per mole of atoms
formation energy without anion corrections	0.2	eV per formula unit

---

This record from Alexandria describes a relaxed structure of V6FeGe. The functional is PBE.

Lattice parameters (Å, degrees): 4.7004 4.7004 4.7004 90.00 90.00 90.00
Space group Pm-3 (No. 200)
Unique sites:
V1 0.0000 0.2429 0.5000
Fe1 0.0000 0.0000 0.0000
Ge1 0.5000 0.5000 0.5000

Summary:
calculated formation energy	-238	meV/atom

---

This record from Alexandria describes a relaxed structure of TbThTl. The functional is PBE.

Lattice parameters (Å, degrees): 5.4114 5.4114 3.6141 90.00 90.00 120.00
Space group P3m1 (No. 156)
Unique sites:
Tb1 0.0000 0.0000 0.0000
Th1 0.3333 0.6667 0.5332
Tl1 0.6667 0.3333 0.1695

Summary:
ΔE to the lowest computed polymorph	17.0	kJ per mole of atoms
calculated formation energy	32	meV/atom